Record 1
The following is a DFT calculation (PBE) of a relaxed structure of CrPd3Pt.

space-group type = No. 46
energy of formation from the pure elements = 0.183 eV/atom
density of states at the Fermi level = 6.801 states/eV/f.u.
energy relative to the lowest polymorph listed for this composition = 137 meV per atom
V = 167.9 Å³ per cell
density = 11.20 Mg/m³
M_tot = 6.057 Bohr magnetons per cell

Cell lengths 6.3618, 6.3618, 6.3618 Å; angles 93.90, 103.14, 134.80 degrees
Site moments in Bohr magnetons follow the coordinates.
Atoms (fractional coordinates):
Pt: 0.7661 0.3573 0.9088  -0.08
Pt: 0.4485 0.8573 0.0912  -0.08
Pd: 0.4758 0.7909 0.6662  0.06
Pd: 0.1247 0.8096 0.3338  0.06
Pd: 0.1247 0.2909 0.8151  0.06
Pd: 0.4758 0.3096 0.1849  0.06
Pd: 0.0943 0.3360 0.2583  0.07
Pd: 0.0777 0.8360 0.7417  0.07
Cr: 0.7688 0.8645 0.4043  2.70
Cr: 0.4603 0.3645 0.5957  2.70

Record 2
The following is a DFT calculation (PBE) of a relaxed structure of CrPd3Pt.

space-group type = No. 62
energy of formation from the pure elements = 0.046 eV/atom
density of states at the Fermi level = 6.374 states/eV/f.u.
energy relative to the lowest polymorph listed for this composition = 0 meV per atom
V = 314.7 Å³ per cell
density = 11.95 Mg/m³
M_tot = 10.069 Bohr magnetons per cell

Cell lengths 5.5331, 6.5048, 8.7442 Å; angles 90.00, 90.00, 90.00 degrees
Site moments in Bohr magnetons follow the coordinates.
Atoms (fractional coordinates):
Pt: 0.5000 0.5000 0.0000  -0.17
Pt: 0.0000 0.5000 0.0000  -0.17
Pt: 0.0000 0.0000 0.5000  -0.17
Pt: 0.5000 0.0000 0.5000  -0.17
Pd: 0.2500 0.8432 0.9270  -0.08
Pd: 0.9979 0.6620 0.6993  -0.07
Pd: 0.4979 0.8380 0.1993  -0.07
Pd: 0.5021 0.6620 0.6993  -0.07
Pd: 0.5021 0.1620 0.8007  -0.07
Pd: 0.4979 0.3380 0.3007  -0.07
Pd: 0.0021 0.3380 0.3007  -0.07
Pd: 0.2500 0.3432 0.5730  -0.08
Pd: 0.9979 0.1620 0.8007  -0.07
Pd: 0.0021 0.8380 0.1993  -0.07
Pd: 0.7500 0.6568 0.4270  -0.08
Pd: 0.7500 0.1568 0.0730  -0.08
Cr: 0.7500 0.3273 0.5780  2.72
Cr: 0.7500 0.8273 0.9220  2.72
Cr: 0.2500 0.6727 0.4220  2.72
Cr: 0.2500 0.1727 0.0780  2.72

Record 3
The following is a DFT calculation (PBE) of a relaxed structure of CrPdPt6.

space-group type = No. 123
energy of formation from the pure elements = -0.164 eV/atom
density of states at the Fermi level = 12.681 states/eV/f.u.
V = 121.9 Å³ per cell
density = 18.10 Mg/m³
M_tot = 2.246 Bohr magnetons per cell

Cell lengths 3.9340, 3.9340, 7.8795 Å; angles 90.00, 90.00, 90.00 degrees
Site moments in Bohr magnetons follow the coordinates.
Atoms (fractional coordinates):
Pt: 0.5000 0.0000 0.7417  -0.07
Pt: 0.0000 0.5000 0.7417  -0.07
Pt: 0.0000 0.5000 0.2583  -0.07
Pt: 0.5000 0.0000 0.2583  -0.07
Pt: 0.5000 0.5000 0.5000  -0.04
Pt: 0.5000 0.5000 0.0000  0.01
Pd: 0.0000 0.0000 0.0000  -0.03
Cr: 0.0000 0.0000 0.5000  2.46

Record 4
The following is a DFT calculation (PBE) of a relaxed structure of Cr4Pd12Pt.

space-group type = No. 229
energy of formation from the pure elements = 0.205 eV/atom
density of states at the Fermi level = 24.676 states/eV/f.u.
V = 280.6 Å³ per cell
density = 9.94 Mg/m³
M_tot = 14.348 Bohr magnetons per cell

Cell lengths 7.1436, 7.1436, 7.1436 Å; angles 109.47, 109.47, 109.47 degrees
Site moments in Bohr magnetons follow the coordinates.
Atoms (fractional coordinates):
Cr: 0.0000 0.5000 0.0000  3.50
Cr: 0.5000 0.0000 0.0000  3.50
Cr: 0.0000 0.0000 0.5000  3.50
Cr: 0.5000 0.5000 0.5000  3.50
Pt: 0.0000 0.0000 0.0000  -0.10
Pd: 0.7500 0.2500 0.5000  -0.07
Pd: 0.2985 0.2985 0.0000  -0.10
Pd: 0.0000 0.7015 0.7015  -0.10
Pd: 0.7500 0.5000 0.2500  -0.07
Pd: 0.5000 0.2500 0.7500  -0.07
Pd: 0.0000 0.2985 0.2985  -0.10
Pd: 0.7015 0.0000 0.7015  -0.10
Pd: 0.2500 0.5000 0.7500  -0.07
Pd: 0.7015 0.7015 0.0000  -0.10
Pd: 0.5000 0.7500 0.2500  -0.07
Pd: 0.2500 0.7500 0.5000  -0.07
Pd: 0.2985 0.0000 0.2985  -0.10

Record 5
The following is a DFT calculation (PBE) of a relaxed structure of CrPd5Pt2.

space-group type = No. 55
energy of formation from the pure elements = -0.094 eV/atom
density of states at the Fermi level = 13.031 states/eV/f.u.
V = 242.5 Å³ per cell
density = 13.34 Mg/m³
M_tot = 3.859 Bohr magnetons per cell

Cell lengths 3.9065, 5.5779, 11.1307 Å; angles 90.00, 90.00, 90.00 degrees
Site moments in Bohr magnetons follow the coordinates.
Atoms (fractional coordinates):
Pd: 0.0000 0.5000 0.2462  -0.15
Pd: 0.5000 0.7505 0.6248  -0.13
Pd: 0.0000 0.0000 0.7462  -0.15
Pd: 0.0000 0.0000 0.0000  -0.08
Pd: 0.5000 0.2505 0.8752  -0.13
Pd: 0.0000 0.5000 0.7538  -0.15
Pd: 0.0000 0.0000 0.2538  -0.15
Pd: 0.5000 0.2495 0.3752  -0.13
Pd: 0.0000 0.5000 0.5000  -0.08
Pd: 0.5000 0.7495 0.1248  -0.13
Cr: 0.0000 0.5000 0.0000  2.70
Cr: 0.0000 0.0000 0.5000  2.70
Pt: 0.5000 0.7430 0.8798  -0.17
Pt: 0.5000 0.2570 0.1202  -0.17
Pt: 0.5000 0.7570 0.3798  -0.17
Pt: 0.5000 0.2430 0.6202  -0.17

Record 6
The following is a DFT calculation (PBE) of a relaxed structure of CrPd7Pt2.

space-group type = No. 65
energy of formation from the pure elements = 0.274 eV/atom
density of states at the Fermi level = 13.683 states/eV/f.u.
V = 174.8 Å³ per cell
density = 11.28 Mg/m³
M_tot = 2.064 Bohr magnetons per cell

Cell lengths 2.7038, 8.8682, 8.8682 Å; angles 124.70, 90.00, 90.00 degrees
Site moments in Bohr magnetons follow the coordinates.
Atoms (fractional coordinates):
Pd: 0.0000 0.1879 0.8121  -0.04
Pd: 0.5000 0.3037 0.1275  -0.03
Pd: 0.5000 0.5000 0.5000  -0.04
Pd: 0.5000 0.1275 0.3037  -0.03
Pd: 0.0000 0.8121 0.1879  -0.04
Pd: 0.5000 0.6963 0.8725  -0.03
Pd: 0.5000 0.8725 0.6963  -0.03
Cr: 0.0000 0.0000 0.0000  2.38
Pt: 0.5000 0.6690 0.3310  -0.12
Pt: 0.5000 0.3310 0.6690  -0.12

Record 7
The following is a DFT calculation (PBE) of a relaxed structure of CrPdPt3.

space-group type = No. 221
energy of formation from the pure elements = 0.911 eV/atom
density of states at the Fermi level = 4.296 states/eV/f.u.
energy relative to the lowest polymorph listed for this composition = 1051 meV per atom
V = 93.9 Å³ per cell
density = 13.15 Mg/m³
M_tot = 0.000 Bohr magnetons per cell

Cell lengths 4.5453, 4.5453, 4.5453 Å; angles 90.00, 90.00, 90.00 degrees
Atoms (fractional coordinates):
Pt: 0.5000 0.0000 0.0000
Pt: 0.0000 0.5000 0.0000
Pt: 0.0000 0.0000 0.5000
Cr: 0.0000 0.0000 0.0000
Pd: 0.5000 0.5000 0.5000

Record 8
The following is a DFT calculation (PBE) of a relaxed structure of Cr2Pd4Pt.

space-group type = No. 14
energy of formation from the pure elements = 0.104 eV/atom
density of states at the Fermi level = 6.248 states/eV/f.u.
energy relative to the lowest polymorph listed for this composition = 0 meV per atom
V = 209.8 Å³ per cell
density = 11.47 Mg/m³
M_tot = 0.000 Bohr magnetons per cell

Cell lengths 9.4365, 5.1774, 6.7293 Å; angles 140.34, 90.00, 90.00 degrees
Atoms (fractional coordinates):
Pd: 0.6936 0.0827 0.4996
Pd: 0.8064 0.5827 0.4996
Pd: 0.3064 0.9173 0.5004
Pd: 0.8503 0.4635 0.9993
Pd: 0.6497 0.9635 0.9993
Pd: 0.1497 0.5365 0.0007
Pd: 0.1936 0.4173 0.5004
Pd: 0.3503 0.0365 0.0007
Cr: 0.4686 0.3277 0.5014
Cr: 0.0314 0.8277 0.5014
Cr: 0.9686 0.1723 0.4986
Cr: 0.5314 0.6723 0.4986
Pt: 0.5000 0.5000 0.0000
Pt: 0.0000 0.0000 0.0000

Record 9
The following is a DFT calculation (PBE) of a relaxed structure of CrPd6Pt.

space-group type = No. 166
energy of formation from the pure elements = 0.419 eV/atom
density of states at the Fermi level = 13.130 states/eV/f.u.
energy relative to the lowest polymorph listed for this composition = 464 meV per atom
V = 141.3 Å³ per cell
density = 10.40 Mg/m³
M_tot = 2.286 Bohr magnetons per cell

Cell lengths 5.2101, 5.2101, 5.2101 Å; angles 88.89, 88.89, 88.89 degrees
Site moments in Bohr magnetons follow the coordinates.
Atoms (fractional coordinates):
Pt: 0.0000 0.0000 0.0000  -0.17
Pd: 0.8272 0.8272 0.4547  -0.07
Pd: 0.1728 0.5453 0.1728  -0.07
Pd: 0.1728 0.1728 0.5453  -0.07
Pd: 0.8272 0.4547 0.8272  -0.07
Pd: 0.5453 0.1728 0.1728  -0.07
Pd: 0.4547 0.8272 0.8272  -0.07
Cr: 0.5000 0.5000 0.5000  2.64

Record 10
The following is a DFT calculation (PBE) of a relaxed structure of CrPd3Pt3.

space-group type = No. 65
energy of formation from the pure elements = 0.019 eV/atom
density of states at the Fermi level = 9.004 states/eV/f.u.
V = 227.8 Å³ per cell
density = 13.94 Mg/m³
M_tot = 4.141 Bohr magnetons per cell

Cell lengths 5.4517, 5.4517, 7.6901 Å; angles 90.00, 90.00, 85.47 degrees
Site moments in Bohr magnetons follow the coordinates.
Atoms (fractional coordinates):
Cr: 0.7730 0.7730 0.0001  2.27
Cr: 0.2270 0.2270 0.9999  2.27
Pd: 0.7592 0.7592 0.4999  -0.07
Pd: 0.2712 0.7288 0.5000  -0.04
Pd: 0.6996 0.3004 0.0000  -0.03
Pd: 0.2408 0.2408 0.5001  -0.07
Pd: 0.7288 0.2712 0.5000  -0.04
Pd: 0.3004 0.6996 0.0000  -0.03
Pt: 0.5001 0.9999 0.7629  -0.07
Pt: 0.0001 0.4999 0.2371  -0.07
Pt: 0.0000 0.0000 0.7626  -0.09
Pt: 0.4999 0.0001 0.2371  -0.07
Pt: 0.0000 0.0000 0.2374  -0.09
Pt: 0.9999 0.5001 0.7629  -0.07

Which value of energy of formation from the pure elements does entry 10 give?
0.019 eV/atom